Entry 1:
This record from the Alexandria database describes Ac3Sn2I2 after structural relaxation. The functional is GGA-PBE.

POSCAR file:
```
Ac3Sn2I2
1.0
4.738 0.000 0.000
2.335 7.983 0.000
0.016 1.936 8.563
Ac Sn I
3 2 2
Cartesian
0.000 0.000 0.000
2.354 5.678 6.584
4.734 4.241 1.980
2.368 2.154 0.946
4.720 7.765 7.617
2.360 6.519 3.181
4.728 3.399 5.383
```

* symmetry: P-1, No. 2
* energy relative to the elements, uncorrected: -80 kJ per mole of atoms

Entry 2:
This record from the Alexandria database describes BC2 after structural relaxation. The functional is GGA-PBE.

POSCAR file:
```
BC2
1.0
2.626 0.000 0.000
-1.313 2.274 0.000
0.000 0.000 14.387
B C
4 8
Cartesian
0.000 0.000 0.000
0.000 0.000 3.614
0.000 1.516 11.953
1.313 0.758 7.627
0.000 0.000 8.310
0.000 0.000 9.801
0.000 1.516 3.822
0.000 1.516 5.509
0.000 1.516 10.352
1.313 0.758 6.003
1.313 0.758 12.636
1.313 0.758 14.189
```

* formation energy: 0.333 eV/atom
* symmetry: P3m1, No. 156
* relative energy among the computed polymorphs: 93 meV per atom

Entry 3:
This record from the Alexandria database describes Ag3SnPt after structural relaxation. The functional is GGA-PBE.

POSCAR file:
```
Ag3SnPt
1.0
5.094 0.000 0.000
0.000 5.094 0.000
0.000 0.000 5.094
Ag Sn Pt
3 1 1
Cartesian
0.000 0.000 2.547
0.000 2.547 0.000
2.547 0.000 0.000
2.547 2.547 2.547
0.000 0.000 0.000
```

* formation energy: 0.629 eV/atom
* symmetry: Pm-3m, No. 221
* relative energy among the computed polymorphs: 0 meV per atom

Entry 4:
This record from the Alexandria database describes Sc3AgPt after structural relaxation. The functional is GGA-PBE.

POSCAR file:
```
Sc3AgPt
1.0
5.029 0.000 0.000
0.000 5.029 0.000
0.000 0.000 5.029
Sc Ag Pt
3 1 1
Cartesian
0.000 0.000 2.514
0.000 2.514 0.000
2.514 0.000 0.000
0.000 0.000 0.000
2.514 2.514 2.514
```

* formation energy: 0.400 eV/atom
* symmetry: Pm-3m, No. 221
* relative energy among the computed polymorphs: 1002 meV per atom

Entry 5:
This record from the Alexandria database describes Pr2Y6Er5 after structural relaxation. The functional is GGA-PBE.

POSCAR file:
```
Pr2Y6Er5
1.0
11.761 0.000 0.000
0.000 20.229 0.000
0.000 0.000 3.589
Pr Y Er
4 12 10
Cartesian
1.923 4.358 0.000
3.958 14.472 0.000
7.804 5.756 0.000
9.838 15.871 0.000
0.670 18.637 0.000
0.972 12.815 0.000
2.088 7.575 1.795
3.793 17.689 1.795
4.908 2.701 0.000
5.211 8.523 0.000
6.551 11.706 0.000
6.853 17.528 0.000
7.968 2.540 1.795
9.674 12.654 1.795
10.789 7.413 0.000
11.092 1.592 0.000
0.000 10.114 1.795
1.136 15.719 1.795
2.351 1.002 1.795
3.529 11.116 1.795
4.744 5.604 1.795
5.881 0.000 1.795
7.017 14.624 1.795
8.232 9.112 1.795
9.410 19.227 1.795
10.625 4.510 1.795
```

* formation energy: 0.103 eV/atom
* symmetry: Pbam, No. 55

Entry 6:
This record from the Alexandria database describes CaPr2Y2 after structural relaxation. The functional is GGA-PBE.

POSCAR file:
```
CaPr2Y2
1.0
3.689 0.000 0.000
-1.845 3.195 0.000
0.000 0.000 15.059
Ca Pr Y
1 2 2
Cartesian
0.000 0.000 0.000
0.000 2.130 11.842
1.845 1.065 3.217
0.000 2.130 6.095
1.845 1.065 8.964
```

* formation energy: 0.016 eV/atom
* symmetry: P-3m1, No. 164
* relative energy among the computed polymorphs: 0 meV per atom

Entry 7:
This record from the Alexandria database describes Al2SiNi after structural relaxation. The functional is GGA-PBE.

POSCAR file:
```
Al2SiNi
1.0
2.801 0.000 0.000
-1.400 2.425 0.000
0.000 0.000 8.193
Al Si Ni
2 1 1
Cartesian
0.000 0.000 1.853
0.000 0.000 6.340
1.400 0.808 4.097
0.000 1.617 0.000
```

* symmetry: P-6m2, No. 187
* energy relative to the elements, uncorrected: -14 kJ per mole of atoms
* relative energy among the computed polymorphs: 171 meV per atom

Entry 8:
This record from the Alexandria database describes MgIr2Ru after structural relaxation. The functional is GGA-PBE.

POSCAR file:
```
MgIr2Ru
1.0
2.788 0.000 0.000
0.000 4.488 0.000
0.000 0.000 9.910
Mg Ir Ru
2 4 2
Cartesian
0.000 0.000 0.000
1.394 2.244 4.955
0.000 0.000 4.988
0.000 2.244 2.276
1.394 0.000 7.231
1.394 2.244 0.033
0.000 2.244 7.753
1.394 0.000 2.798
```

* formation energy: 0.031 eV/atom
* symmetry: Imm2, No. 44

Entry 9:
This record from the Alexandria database describes KScPb2 after structural relaxation. The functional is GGA-PBE.

POSCAR file:
```
KScPb2
1.0
3.632 0.000 0.000
0.000 4.724 0.000
0.000 0.000 8.268
K Sc Pb
1 1 2
Cartesian
0.000 0.000 0.000
1.816 2.362 5.147
0.000 0.000 4.677
1.816 2.362 2.244
```

* formation energy: 0.050 eV/atom
* symmetry: Pmm2, No. 25
* relative energy among the computed polymorphs: 335 meV per atom

Entry 10:
This record from the Alexandria database describes InSiH after structural relaxation. The functional is GGA-PBE.

POSCAR file:
```
InSiH
1.0
3.838 0.000 0.000
-0.151 5.002 0.000
-1.854 -1.185 6.014
In Si H
2 2 2
Cartesian
0.000 0.000 0.000
0.007 1.348 5.904
0.872 0.270 3.465
2.772 1.132 2.400
0.691 3.795 3.162
2.829 2.590 2.784
```

* symmetry: P1, No. 1
* relative energy among the computed polymorphs: 22 meV per atom

Entry 11:
This record from the Alexandria database describes ZrNiCl after structural relaxation. The functional is GGA-PBE.

POSCAR file:
```
ZrNiCl
1.0
4.337 0.000 0.000
-2.169 3.756 0.000
0.000 0.000 2.970
Zr Ni Cl
1 1 1
Cartesian
0.000 0.000 0.000
0.000 2.504 1.485
2.169 1.252 1.485
```

* symmetry: P-6m2, No. 187
* energy relative to the elements, uncorrected: -18 kJ per mole of atoms
* relative energy among the computed polymorphs: 298 meV per atom

Entry 12:
This record from the Alexandria database describes Ca2LaRu after structural relaxation. The functional is GGA-PBE.

POSCAR file:
```
Ca2LaRu
1.0
3.560 0.000 0.000
0.000 3.565 0.000
-0.097 0.000 9.752
Ca La Ru
2 1 1
Cartesian
0.000 0.000 0.000
1.692 1.782 6.578
1.761 1.782 3.229
3.488 0.000 4.746
```

* formation energy: -0.021 eV/atom
* symmetry: Pm, No. 6
* relative energy among the computed polymorphs: 132 meV per atom

Number 1: volume 46.27 A^3/atom, E -4.176 eV/atom. Number 2: volume 7.16 A^3/atom, E -8.042 eV/atom. Number 3: volume 26.44 A^3/atom, E -3.091 eV/atom. Number 4: volume 25.44 A^3/atom, E -5.177 eV/atom. Number 5: volume 32.84 A^3/atom, E -5.370 eV/atom. Number 6: volume 35.50 A^3/atom, E -4.882 eV/atom. Number 7: volume 13.91 A^3/atom, E -4.815 eV/atom. Number 8: volume 15.50 A^3/atom, E -7.118 eV/atom. Number 9: volume 35.47 A^3/atom, E -3.661 eV/atom. Number 10: volume 19.24 A^3/atom, E -3.655 eV/atom. Number 11: volume 16.13 A^3/atom, E -5.576 eV/atom. Number 12: volume 30.94 A^3/atom, E -4.572 eV/atom.